[1]
! P2Se2Br | Alexandria via LeMat-Bulk | PBE | optimized geometry; values from VASP
&SYSTEM
  ibrav = 0, nat = 10, ntyp = 3
/
ATOMIC_SPECIES
P 30.97 P.upf
Se 78.96 Se.upf
Br 79.90 Br.upf
CELL_PARAMETERS angstrom
5.931 0.000 0.000
-0.843 7.908 0.000
-0.613 -2.676 7.884
ATOMIC_POSITIONS crystal
P 0.198 0.253 0.041
P 0.302 0.049 0.156
P 0.698 0.951 0.844
P 0.802 0.747 0.959
Se 0.067 0.026 0.790
Se 0.459 0.657 0.033
Se 0.541 0.343 0.967
Se 0.933 0.974 0.210
Br 0.426 0.228 0.424
Br 0.574 0.772 0.576
! Raw formation energy: -0.10 eV/atom
! Symmetry: P-1 (2)
! Total magnetization: 0.00 μB per cell


[2]
! CeUPa2C4 | Alexandria via LeMat-Bulk | PBE | optimized geometry; values from VASP
&SYSTEM
  ibrav = 0, nat = 8, ntyp = 4
/
ATOMIC_SPECIES
Ce 140.12 Ce.upf
U 238.03 U.upf
Pa 231.04 Pa.upf
C 12.01 C.upf
CELL_PARAMETERS angstrom
6.211 0.000 0.000
0.000 3.581 0.000
-2.100 0.000 5.850
ATOMIC_POSITIONS crystal
Ce 0.000 0.000 0.000
U 0.500 0.500 0.000
Pa 0.000 0.500 0.500
Pa 0.500 0.000 0.500
C 0.268 0.000 0.757
C 0.272 0.500 0.257
C 0.728 0.500 0.743
C 0.732 0.000 0.243
! Symmetry: P2/m (10)
! Total magnetization: 0.00 μB per cell
! Energy of formation from the pure elements: -0.283 eV/atom
! DOS(E_F): 0.9944 states/eV/atom